Density functional theory data (PBE) for SrCrAsBr2 after structural relaxation.

Summary:
The symmetry is P4/mmm (123). For the formation energy (no corrections), the calculation gives 0.0012 eV/atom. The mass density is 3.0 g cm⁻³. The relative energy among the computed polymorphs comes out at 0.722 eV per atom.

abc: 5.7965 5.7965 6.2165
angles: 90.00 90.00 90.00
Element x y z (fractional)
Sr: 0.0000 0.0000 0.0000
Cr: 0.5000 0.5000 0.5000
As: 0.0000 0.0000 0.5000
Br: 0.0000 0.5000 0.0000
Br: 0.5000 0.0000 0.0000

---

Density functional theory data (PBE) for RbScAuI6 after structural relaxation.

Summary:
The symmetry is C2 (5). For the formation energy (no corrections), the calculation gives -0.8509 eV/atom. The mass density is 4.4 g cm⁻³.

abc: 7.4670 7.4670 7.9078
angles: 95.55 95.55 110.19
Element x y z (fractional)
Rb: 0.0000 0.0000 0.0000
Sc: 0.3657 0.6343 0.5000
Au: 0.7214 0.2786 0.5000
I: 0.0733 0.6050 0.2401
I: 0.0868 0.3331 0.6611
I: 0.3950 0.9267 0.7599
I: 0.4534 0.3456 0.2683
I: 0.6544 0.5466 0.7317
I: 0.6669 0.9132 0.3389

---

Density functional theory data (PBE) for Re2NiPt after structural relaxation.

Summary:
Its formation energy is 16 meV per atom. The symmetry is R3m (160). The mass density is 18.1 g cm⁻³. The relative energy among the computed polymorphs comes out at 0.061 eV per atom.

abc: 8.9181 8.9181 8.9181
angles: 17.73 17.73 17.73
Element x y z (fractional)
Re: 0.0000 0.0000 0.0000
Re: 0.2504 0.2504 0.2504
Ni: 0.7465 0.7465 0.7465
Pt: 0.4950 0.4950 0.4950

---

Density functional theory data (PBE) for HgSe2F after structural relaxation.

Summary:
The symmetry is Fm-3m (225). For the formation energy (no corrections), the calculation gives -0.0075 eV/atom. The mass density is 8.5 g cm⁻³. The relative energy among the computed polymorphs comes out at 0.303 eV per atom.

abc: 4.7105 4.7105 4.7105
angles: 60.00 60.00 60.00
Element x y z (fractional)
Hg: 0.0000 0.0000 0.0000
Se: 0.2500 0.2500 0.2500
Se: 0.7500 0.7500 0.7500
F: 0.5000 0.5000 0.5000

---

Density functional theory data (PBE) for K2CdIrC after structural relaxation.

Summary:
Its formation energy is 1592 meV per atom. The symmetry is P4/mmm (123). The mass density is 4.0 g cm⁻³.

abc: 6.4633 6.4633 3.9670
angles: 90.00 90.00 90.00
Element x y z (fractional)
K: 0.0000 0.5000 0.0000
K: 0.5000 0.0000 0.0000
Cd: 0.0000 0.0000 0.0000
Ir: 0.5000 0.5000 0.5000
C: 0.0000 0.0000 0.5000

---

Density functional theory data (PBE) for Pr8ErSc2 after structural relaxation.

Summary:
Its formation energy is 157 meV per atom. The symmetry is C2/m (12). The mass density is 6.1 g cm⁻³. The relative energy among the computed polymorphs comes out at 0.033 eV per atom.

abc: 9.3174 9.3174 5.9321
angles: 104.75 104.75 121.57
Element x y z (fractional)
Pr: 0.0958 0.3343 0.6697
Pr: 0.2086 0.7914 0.0000
Pr: 0.3343 0.0958 0.6697
Pr: 0.4176 0.4176 0.2049
Pr: 0.5824 0.5824 0.7951
Pr: 0.6657 0.9042 0.3303
Pr: 0.7914 0.2086 0.0000
Pr: 0.9042 0.6657 0.3303
Er: 0.0000 0.0000 0.0000
Sc: 0.3098 0.6902 0.5000
Sc: 0.6902 0.3098 0.5000

---

Density functional theory data (PBE) for ReCl after structural relaxation.

Summary:
The symmetry is P6_3/m (176). For the formation energy (no corrections), the calculation gives 0.4645 eV/atom. The mass density is 7.2 g cm⁻³. The relative energy among the computed polymorphs comes out at 0.576 eV per atom.

abc: 10.4895 10.4895 3.2408
angles: 90.00 90.00 120.00
Element x y z (fractional)
Re: 0.0086 0.4266 0.2500
Re: 0.4180 0.9914 0.2500
Re: 0.4266 0.4180 0.7500
Re: 0.5734 0.5820 0.2500
Re: 0.5820 0.0086 0.7500
Re: 0.9914 0.5734 0.7500
Cl: 0.1629 0.3346 0.7500
Cl: 0.1718 0.8371 0.7500
Cl: 0.3346 0.1718 0.2500
Cl: 0.6654 0.8282 0.7500
Cl: 0.8282 0.1629 0.2500
Cl: 0.8371 0.6654 0.2500

---

Going through the records in order, we get magnetic moment values of 0.60; 0.00; 0.10; 0.00; 0.42; 0.00; 0.00 μB per atom.